Here is GeBrNO2 after structural relaxation from Alexandria. Energies are from GGA-PBE.

Geometry as POSCAR:
```
GeBrNO2
1.0
4.0892 0.0000 0.0000
0.0000 4.0892 0.0000
0.0000 0.0000 3.8247
Ge Br N O
1 1 1 2
Cartesian
0.0000 0.0000 0.0000
2.0446 2.0446 1.9124
2.0446 2.0446 0.0000
0.0000 2.0446 1.9124
2.0446 0.0000 1.9124
```

energy: -19.26 eV per cell
space group: P4/mmm
M_tot: 0.00 μB/cell

Here is GeBrNO2 after structural relaxation from Alexandria. Energies are from GGA-PBE.

Geometry as POSCAR:
```
GeBrNO2
1.0
3.6347 0.0000 0.0000
0.0000 3.6347 0.0000
0.0000 0.0000 4.4733
Ge Br N O
1 1 1 2
Cartesian
0.0000 0.0000 0.0000
1.8174 1.8174 2.2366
0.0000 0.0000 2.2366
0.0000 1.8174 0.0000
1.8174 0.0000 0.0000
```

energy: -22.40 eV per cell
space group: P4/mmm
M_tot: 0.66 μB/cell

Here is GeP2BrN after structural relaxation from Alexandria. Energies are from GGA-PBE.

Geometry as POSCAR:
```
GeP2BrN
1.0
4.9414 0.0000 0.0000
0.0000 4.9414 0.0000
0.0000 0.0000 5.2620
Ge P Br N
1 2 1 1
Cartesian
0.0000 0.0000 0.0000
0.0000 2.4707 2.6310
2.4707 0.0000 2.6310
0.0000 0.0000 2.6310
2.4707 2.4707 0.0000
```

energy: -13.90 eV per cell
space group: P4/mmm
M_tot: 2.54 μB/cell

Here is PmGeBrN2 after structural relaxation from Alexandria. Energies are from GGA-PBE.

Geometry as POSCAR:
```
PmGeBrN2
1.0
7.3042 0.0000 0.0000
0.0000 3.6423 0.0000
-1.8538 0.0000 7.8797
Pm Ge Br N
2 2 2 4
Cartesian
0.6033 0.9106 3.7392
4.8471 2.7317 4.1405
-1.3058 0.9106 6.9527
6.7562 2.7317 0.9270
2.1561 2.7317 5.6174
3.2943 0.9106 2.2622
-0.4952 2.7317 2.7794
-0.9230 2.7317 7.6102
6.3734 0.9106 0.2695
5.9456 0.9106 5.1003
```

energy: -63.06 eV per cell
space group: P2_1/m
M_tot: 0.00 μB/cell

Here is PrGeBrN2 after structural relaxation from Alexandria. Energies are from GGA-PBE.

Geometry as POSCAR:
```
PrGeBrN2
1.0
7.4778 0.0000 0.0000
0.0000 4.0663 0.0000
-3.4209 0.0000 6.9012
Pr Ge Br N
2 2 2 4
Cartesian
-0.2036 1.0166 3.1396
4.2605 3.0497 3.7616
-2.5839 1.0166 6.2708
6.6408 3.0497 0.6303
2.7399 1.0166 1.8494
1.3171 3.0497 5.0518
-2.1809 1.0166 4.4891
-2.7061 3.0497 6.4568
6.7630 1.0166 0.4443
6.2379 3.0497 2.4121
```

energy: -62.59 eV per cell
space group: P2_1/m
M_tot: 0.00 μB/cell

Here is Pr6Ge2Br3N after structural relaxation from Alexandria. Energies are from GGA-PBE.

Geometry as POSCAR:
```
Pr6Ge2Br3N
1.0
3.5824 -6.1917 0.0000
3.5824 6.1917 0.0000
-2.3838 0.0000 7.5011
Pr Ge Br N
6 2 3 1
Cartesian
1.0804 1.8708 1.4819
-0.2307 0.0000 6.0075
1.0804 -1.8708 1.4819
3.7006 1.8708 6.0192
5.0117 0.0000 1.4936
3.7006 -1.8708 6.0192
3.5824 2.0549 0.0000
3.5824 -2.0549 0.0000
2.3905 4.0462 3.7506
2.3905 0.0000 3.7506
2.3905 -4.0462 3.7506
0.0000 0.0000 0.0000
```

energy: -65.59 eV per cell
space group: C2/m
M_tot: 0.00 μB/cell

Here is Rb2GeBr6N after structural relaxation from Alexandria. Energies are from GGA-PBE.

Geometry as POSCAR:
```
Rb2GeBr6N
1.0
-4.0975 4.0975 4.8307
4.0975 -4.0975 4.8307
4.0975 4.0975 -4.8307
Rb Ge Br N
2 1 6 1
Cartesian
4.0975 0.0000 2.4153
0.0000 4.0975 2.4153
0.0000 0.0000 0.0000
1.8510 1.8510 0.0000
2.2464 -2.2464 4.8307
0.0000 0.0000 2.6626
0.0000 0.0000 6.9988
-2.2464 2.2464 4.8307
2.2464 2.2464 4.8307
0.0000 0.0000 4.8307
```

energy: -29.44 eV per cell
space group: I4/mmm
M_tot: 1.75 μB/cell

Here is RbGeBrN2 after structural relaxation from Alexandria. Energies are from GGA-PBE.

Geometry as POSCAR:
```
RbGeBrN2
1.0
5.2710 0.0000 0.0000
0.0000 5.2710 0.0000
0.0000 0.0000 6.4972
Rb Ge Br N
1 1 1 2
Cartesian
0.0000 0.0000 0.0000
2.6355 2.6355 3.2486
0.0000 0.0000 3.2486
0.0000 2.6355 0.0000
2.6355 0.0000 0.0000
```

energy: -13.99 eV per cell
space group: P4/mmm
M_tot: 4.00 μB/cell

Here is GeRuBr2N after structural relaxation from Alexandria. Energies are from GGA-PBE.

Geometry as POSCAR:
```
GeRuBr2N
1.0
5.5245 0.0000 0.0000
0.0000 5.5245 0.0000
0.0000 0.0000 3.6278
Ge Ru Br N
1 1 2 1
Cartesian
0.0000 0.0000 0.0000
2.7623 2.7623 0.0000
0.0000 2.7623 1.8139
2.7623 0.0000 1.8139
2.7623 2.7623 1.8139
```

energy: -21.42 eV per cell
space group: P4/mmm
M_tot: 0.00 μB/cell

Here is SmGeBrN2 after structural relaxation from Alexandria. Energies are from GGA-PBE.

Geometry as POSCAR:
```
SmGeBrN2
1.0
7.2510 0.0000 0.0000
0.0000 3.6276 0.0000
-1.8645 0.0000 7.8777
Sm Ge Br N
2 2 2 4
Cartesian
0.5849 0.9069 3.7543
4.8016 2.7207 4.1234
-1.3223 0.9069 6.9470
6.7088 2.7207 0.9308
2.1342 2.7207 5.6130
3.2522 0.9069 2.2647
-0.4892 2.7207 2.7841
-0.9307 2.7207 7.6070
6.3171 0.9069 0.2707
5.8756 0.9069 5.0936
```

energy: -63.10 eV per cell
space group: P2_1/m
M_tot: 0.00 μB/cell

Here is SnGe2BrN after structural relaxation from Alexandria. Energies are from GGA-PBE.

Geometry as POSCAR:
```
SnGe2BrN
1.0
4.4348 0.0000 0.0000
0.0000 4.4348 0.0000
0.0000 0.0000 5.5941
Sn Ge Br N
1 2 1 1
Cartesian
0.0000 0.0000 0.0000
0.0000 2.2174 2.7970
2.2174 0.0000 2.7970
2.2174 2.2174 0.0000
0.0000 0.0000 2.7970
```

energy: -20.15 eV per cell
space group: P4/mmm
M_tot: 0.00 μB/cell

Here is Ti2GeBrN after structural relaxation from Alexandria. Energies are from GGA-PBE.

Geometry as POSCAR:
```
Ti2GeBrN
1.0
4.7820 0.0000 0.0000
0.0000 4.7820 0.0000
0.0000 0.0000 3.8659
Ti Ge Br N
2 1 1 1
Cartesian
0.0000 2.3910 0.0000
2.3910 0.0000 0.0000
0.0000 0.0000 1.9330
2.3910 2.3910 0.0000
2.3910 2.3910 1.9330
```

energy: -25.09 eV per cell
space group: P4/mmm
M_tot: 0.00 μB/cell